1.
A plane-wave DFT calculation with PBE-GGA was carried out for an optimized crystal structure of Yb5Si3C.

The space group is P6_3/mcm (No. 193) and the conventional cell measures 8.5644, 8.5644 and 6.2859 Å, with angles of 90.00, 90.00 and 120.00 degrees. Symmetry generates all atoms from Yb at (0.0000, 0.2233, 0.2500), Yb at (0.3333, 0.6667, 0.0000), Si at (0.0000, 0.4197, 0.7500) and C at (0.0000, 0.0000, 0.0000).

As for the density of states at the Fermi level: 5.301 states/eV per atom. Its formation energy without anion corrections is -349.0 meV per atom.

***

2.
A plane-wave DFT calculation with PBE-GGA was carried out for an optimized crystal structure of Ni3Mo.

The space group is R-3m (No. 166, hexagonal axes) and the conventional cell measures 2.6156, 2.6156 and 25.0345 Å, with angles of 90.00, 90.00 and 120.00 degrees. Symmetry generates all atoms from Ni at (0.0000, 0.0000, 0.0000), Ni at (0.0000, 0.0000, 0.2532) and Mo at (0.0000, 0.0000, 0.5000).

The formation energy comes out at 0.127 eV/atom. As for the density of states at the Fermi level: 1.584 states/eV per atom.

***

3.
A plane-wave DFT calculation with PBE-GGA was carried out for an optimized crystal structure of MnMo2Ru.

The space group is Cm (No. 8) and the conventional cell measures 9.0784, 2.7808 and 4.6937 Å, with angles of 90.00, 101.58 and 90.00 degrees. Symmetry generates all atoms from Mn at (0.0000, 0.0000, 0.0000), Mo at (0.0139, 0.5000, 0.5095), Mo at (0.2434, 0.5000, 0.2001) and Ru at (0.2687, 0.0000, 0.7204).

The formation energy comes out at 0.162 eV/atom. As for the density of states at the Fermi level: 1.047 states/eV per atom. For the offset from the most stable computed form, the calculation gives 94 meV per atom.

***

4.
A plane-wave DFT calculation with PBE-GGA was carried out for an optimized crystal structure of PmNd2Dy3.

The space group is C2/c (No. 15) and the conventional cell measures 9.0401, 9.9040 and 9.0460 Å, with angles of 90.00, 101.55 and 90.00 degrees. Symmetry generates all atoms from Pm at (0.0000, 0.0847, 0.2500), Nd at (0.1239, 0.2522, 0.6256), Dy at (0.0000, 0.4177, 0.2500) and Dy at (0.2490, 0.0836, 0.9993).

The formation energy comes out at 0.066 eV/atom. As for the density of states at the Fermi level: 1.423 states/eV per atom. For the offset from the most stable computed form, the calculation gives 0 meV per atom.

***

no.,mass density (g/cm³),final energy (eV/cell)
1,8.0,-72.527
2,9.1,-83.007
3,10.0,-78.917
4,7.7,-110.797